The following is a DFT calculation (PBE) of Ca2AlSn3Pd4 after structural relaxation.

abc: 4.382 4.382 11.330
angles: 90.00 90.00 90.00
Fractional positions:
Ca: 0.000 0.500 0.246
Ca: 0.500 0.000 0.754
Al: 0.500 0.500 0.000
Sn: 0.000 0.000 0.000
Sn: 0.000 0.500 0.636
Sn: 0.500 0.000 0.364
Pd: 0.000 0.000 0.500
Pd: 0.000 0.500 0.869
Pd: 0.500 0.000 0.131
Pd: 0.500 0.500 0.500

Output
Space-group type: P-4m2 (115)
Formation energy in eV/atom: -0.690
Raw total energy in eV per atom: -4.743